Record 1
Compound: SrLaZrBi2
Source: Alexandria via LeMat-Bulk
Functional: PBE
Structure: relaxed

Output
Its electronic total energy is -4.4314 eV per atom. The size of the total moment is 0.00 μB per formula unit. The crystal system is tetragonal. The calculation puts the formation energy at 152.5 meV per atom. The space-group type is P4/mmm (123). For the calculated volume, the calculation gives 36.86 A^3/atom.

a = 5.7484 Å, b = 5.5778 Å, c = 5.7484 Å
α = 90.00°, β = 90.00°, γ = 90.00°
Last column: nearest neighbours and their distance in Å.
Sites, in units of the cell vectors:
La 0.5000 0.5000 0.5000  8 Bi 4.00, 4 Sr 4.06
Zr 0.0000 0.0000 0.0000  2 Sr 2.79, 4 Bi 2.87
Bi 0.0000 0.0000 0.5000  2 Zr 2.87
Bi 0.5000 0.0000 0.0000  2 Zr 2.87
Sr 0.0000 0.5000 0.0000  2 Zr 2.79

***

Record 2
Compound: La2TaBi
Source: Alexandria via LeMat-Bulk
Functional: PBE
Structure: relaxed

Output
Its electronic total energy is -6.0225 eV per atom. The size of the total moment is 0.00 μB per formula unit. The crystal system is tetragonal. The calculation puts the formation energy at 374.7 meV per atom. The space-group type is I-42d (122). For the calculated volume, the calculation gives 29.72 A^3/atom.

a = 8.6555 Å, b = 8.6555 Å, c = 6.8941 Å
α = 51.12°, β = 51.12°, γ = 90.00°
Last column: nearest neighbours and their distance in Å.
Sites, in units of the cell vectors:
Bi 0.7500 0.2500 0.5000  2 Ta 3.17, 4 La 3.41
Bi 0.0000 0.0000 0.0000  2 Ta 3.17, 4 La 3.41
La 0.5839 0.1250 0.2500  2 Ta 2.93, 2 La 3.25
La 0.3750 0.4161 0.7500  2 Ta 2.93, 2 La 3.25
La 0.1661 0.6250 0.2500  2 Ta 2.93, 2 La 3.25
La 0.8750 0.8339 0.7500  2 Ta 2.93, 2 La 3.25
Ta 0.2500 0.7500 0.5000  4 La 2.93, 2 Bi 3.17
Ta 0.5000 0.5000 0.0000  4 La 2.93, 2 Bi 3.17

***

Record 3
Compound: LaTaBi3
Source: Alexandria via LeMat-Bulk
Functional: PBE
Structure: relaxed

Output
Its electronic total energy is -4.1623 eV per atom. The size of the total moment is 3.07 μB per formula unit. The crystal system is cubic. The calculation puts the formation energy at 1522.3 meV per atom. The space-group type is Pm-3m (221). For the calculated volume, the calculation gives 42.93 A^3/atom.

a = 5.9877 Å, b = 5.9877 Å, c = 5.9877 Å
α = 90.00°, β = 90.00°, γ = 90.00°
Last column: nearest neighbours and their distance in Å.
Sites, in units of the cell vectors:
La 0.0000 0.0000 0.0000  6 Bi 2.99
Bi 0.5000 0.0000 0.0000  2 La 2.99
Bi 0.0000 0.0000 0.5000  2 La 2.99
Bi 0.0000 0.5000 0.0000  2 La 2.99
Ta 0.5000 0.5000 0.5000  12 Bi 4.23

***

Record 4
Compound: La2Ta4Bi
Source: Alexandria via LeMat-Bulk
Functional: PBE
Structure: relaxed

Output
Its electronic total energy is -6.9099 eV per atom. The size of the total moment is 0.00 μB per formula unit. The crystal system is tetragonal. The calculation puts the formation energy at 1825.3 meV per atom. The space-group type is I4/mmm (139). For the calculated volume, the calculation gives 28.57 A^3/atom.

a = 5.1760 Å, b = 5.1760 Å, c = 8.3140 Å
α = 71.86°, β = 71.86°, γ = 90.00°
Last column: nearest neighbours and their distance in Å.
Sites, in units of the cell vectors:
Ta 0.5000 0.0000 0.0000  2 Bi 2.59
Ta 0.0000 0.5000 0.0000  2 Bi 2.59
Ta 0.8089 0.8089 0.3823  1 La 2.66, 1 Bi 2.85
Ta 0.1911 0.1911 0.6177  1 La 2.66, 1 Bi 2.85
La 0.6310 0.6310 0.7379  1 Ta 2.66
La 0.3690 0.3690 0.2621  1 Ta 2.66
Bi 0.0000 0.0000 0.0000  6 Ta 2.59-2.85